1.
! CaTa2Bi2O9 PBE optimized geometry; values from VASP
! Formation energy without anion corrections: -2362 meV/atom
! Magnetization: 0.000 μB per atom
! Energy relative to the lowest polymorph listed for this composition: 0.041 eV per atom
&SYSTEM
  ibrav = 0, nat = 14, ntyp = 4
/
ATOMIC_SPECIES
Ca 40.08 Ca.upf
Ta 180.95 Ta.upf
Bi 208.98 Bi.upf
O 16.00 O.upf
ATOMIC_POSITIONS crystal
Ca 0.000 0.000 0.000
Ta 0.423 0.462 0.161
Ta 0.577 0.538 0.839
Bi 0.220 0.271 0.599
Bi 0.780 0.729 0.401
O 0.067 0.517 0.856
O 0.252 0.749 0.505
O 0.361 0.459 0.309
O 0.434 0.976 0.141
O 0.500 0.500 0.000
O 0.566 0.024 0.859
O 0.639 0.541 0.691
O 0.748 0.251 0.495
O 0.933 0.483 0.144
CELL_PARAMETERS angstrom
3.921 0.000 0.000
0.000 3.968 0.000
1.810 0.691 12.905

***

2.
! CaTbBiO PBE optimized geometry; values from VASP
! Formation energy without anion corrections: -1948 meV/atom
! Magnetization: 0.000 μB per atom
&SYSTEM
  ibrav = 0, nat = 8, ntyp = 4
/
ATOMIC_SPECIES
Ca 40.08 Ca.upf
Tb 158.93 Tb.upf
Bi 208.98 Bi.upf
O 16.00 O.upf
ATOMIC_POSITIONS crystal
Ca 0.250 0.250 0.167
Ca 0.750 0.750 0.833
Tb 0.250 0.750 0.500
Tb 0.750 0.250 0.500
Bi 0.250 0.250 0.794
Bi 0.750 0.750 0.206
O 0.250 0.250 0.432
O 0.750 0.750 0.568
CELL_PARAMETERS angstrom
4.606 0.000 0.000
0.000 4.606 0.000
0.000 0.000 8.957

***

3.
! Ca2Tb4Bi3O2 PBE optimized geometry; values from VASP
! Formation energy without anion corrections: -1558 meV/atom
! Magnetization: 0.000 μB per atom
&SYSTEM
  ibrav = 0, nat = 11, ntyp = 4
/
ATOMIC_SPECIES
Ca 40.08 Ca.upf
Tb 158.93 Tb.upf
Bi 208.98 Bi.upf
O 16.00 O.upf
ATOMIC_POSITIONS crystal
Ca 0.193 0.193 0.000
Ca 0.807 0.807 0.000
Tb 0.084 0.584 0.500
Tb 0.416 0.916 0.500
Tb 0.584 0.084 0.500
Tb 0.916 0.416 0.500
Bi 0.323 0.323 0.000
Bi 0.500 0.500 0.000
Bi 0.677 0.677 0.000
O 0.098 0.098 0.000
O 0.902 0.902 0.000
CELL_PARAMETERS angstrom
-2.363 2.363 12.816
2.363 -2.363 12.816
2.363 2.363 -12.816

***

4.
! Ca2TcBiO8 PBE optimized geometry; values from VASP
! Formation energy without anion corrections: -1639 meV/atom
! Magnetization: 0.000 μB per atom
&SYSTEM
  ibrav = 0, nat = 12, ntyp = 4
/
ATOMIC_SPECIES
Ca 40.08 Ca.upf
Tc 98.00 Tc.upf
Bi 208.98 Bi.upf
O 16.00 O.upf
ATOMIC_POSITIONS crystal
Ca 0.000 0.000 0.242
Ca 0.000 0.000 0.758
Tc 0.500 0.500 0.000
Bi 0.500 0.500 0.500
O 0.212 0.212 0.500
O 0.238 0.238 0.001
O 0.322 0.676 0.783
O 0.324 0.678 0.217
O 0.676 0.322 0.783
O 0.678 0.324 0.217
O 0.762 0.762 0.999
O 0.788 0.788 0.500
CELL_PARAMETERS angstrom
3.528 -3.691 0.000
3.528 3.691 0.000
-0.005 0.000 6.637

***

5.
! Ca2BiTeO6 PBE optimized geometry; values from VASP
! Formation energy without anion corrections: -1870 meV/atom
! Magnetization: 0.000 μB per atom
&SYSTEM
  ibrav = 0, nat = 10, ntyp = 4
/
ATOMIC_SPECIES
Ca 40.08 Ca.upf
Bi 208.98 Bi.upf
Te 127.60 Te.upf
O 16.00 O.upf
ATOMIC_POSITIONS crystal
Ca 0.000 0.000 0.000
Ca 0.494 0.494 0.494
Bi 0.216 0.216 0.216
Te 0.706 0.706 0.706
O 0.051 0.450 0.811
O 0.345 0.907 0.592
O 0.450 0.811 0.051
O 0.592 0.345 0.907
O 0.811 0.051 0.450
O 0.907 0.592 0.345
CELL_PARAMETERS angstrom
2.907 1.678 5.185
-2.907 1.678 5.185
0.000 -3.356 5.185

***

6.
! CaBi2TeO6 PBE optimized geometry; values from VASP
! Formation energy without anion corrections: -1524 meV/atom
! Magnetization: 0.000 μB per atom
&SYSTEM
  ibrav = 0, nat = 10, ntyp = 4
/
ATOMIC_SPECIES
Ca 40.08 Ca.upf
Bi 208.98 Bi.upf
Te 127.60 Te.upf
O 16.00 O.upf
ATOMIC_POSITIONS crystal
Ca 0.000 0.000 0.000
Bi 0.215 0.215 0.215
Bi 0.736 0.736 0.736
Te 0.520 0.520 0.520
O 0.104 0.396 0.851
O 0.328 0.836 0.640
O 0.396 0.851 0.104
O 0.640 0.328 0.836
O 0.836 0.640 0.328
O 0.851 0.104 0.396
CELL_PARAMETERS angstrom
3.074 1.775 4.991
-3.074 1.775 4.991
0.000 -3.550 4.991

***

7.
! Ca2BiTeO8 PBE optimized geometry; values from VASP
! Formation energy without anion corrections: -1535 meV/atom
! Magnetization: 0.087 μB per atom
&SYSTEM
  ibrav = 0, nat = 12, ntyp = 4
/
ATOMIC_SPECIES
Ca 40.08 Ca.upf
Bi 208.98 Bi.upf
Te 127.60 Te.upf
O 16.00 O.upf
ATOMIC_POSITIONS crystal
Ca 0.000 0.000 0.244
Ca 0.000 0.000 0.756
Bi 0.500 0.500 0.500
Te 0.500 0.500 0.000
O 0.214 0.214 0.500
O 0.231 0.231 0.000
O 0.322 0.678 0.222
O 0.322 0.678 0.778
O 0.678 0.322 0.222
O 0.678 0.322 0.778
O 0.769 0.769 0.000
O 0.786 0.786 0.500
CELL_PARAMETERS angstrom
3.529 -3.742 0.000
3.529 3.742 0.000
0.000 0.000 6.682

***

8.
! Ca2Ti5Bi4O18 PBE optimized geometry; values from VASP
! Formation energy without anion corrections: -2465 meV/atom
! Magnetization: 0.000 μB per atom
&SYSTEM
  ibrav = 0, nat = 58, ntyp = 4
/
ATOMIC_SPECIES
Ca 40.08 Ca.upf
Ti 47.87 Ti.upf
Bi 208.98 Bi.upf
O 16.00 O.upf
ATOMIC_POSITIONS crystal
Ca 0.009 0.040 0.960
Ca 0.491 0.540 0.460
Ca 0.509 0.460 0.540
Ca 0.991 0.960 0.040
Ti 0.000 0.350 0.681
Ti 0.000 0.517 0.517
Ti 0.000 0.681 0.350
Ti 0.005 0.440 0.595
Ti 0.495 0.940 0.095
Ti 0.500 0.017 0.017
Ti 0.500 0.181 0.850
Ti 0.500 0.850 0.181
Ti 0.505 0.095 0.940
Ti 0.995 0.595 0.440
Bi 0.005 0.095 0.847
Bi 0.025 0.708 0.156
Bi 0.475 0.208 0.656
Bi 0.495 0.595 0.347
Bi 0.505 0.347 0.595
Bi 0.525 0.656 0.208
Bi 0.975 0.156 0.708
Bi 0.995 0.847 0.095
O 0.065 0.324 0.727
O 0.068 0.682 0.447
O 0.083 0.525 0.603
O 0.204 0.762 0.929
O 0.211 0.339 0.196
O 0.215 0.981 0.655
O 0.232 0.116 0.423
O 0.240 0.957 0.458
O 0.245 0.299 0.285
O 0.255 0.799 0.785
O 0.260 0.457 0.958
O 0.268 0.616 0.923
O 0.285 0.481 0.155
O 0.289 0.839 0.696
O 0.296 0.262 0.429
O 0.417 0.025 0.103
O 0.432 0.182 0.947
O 0.435 0.824 0.227
O 0.565 0.227 0.824
O 0.568 0.947 0.182
O 0.583 0.103 0.025
O 0.704 0.429 0.262
O 0.711 0.696 0.839
O 0.715 0.155 0.481
O 0.732 0.923 0.616
O 0.740 0.958 0.457
O 0.745 0.785 0.799
O 0.755 0.285 0.299
O 0.760 0.458 0.957
O 0.768 0.423 0.116
O 0.785 0.655 0.981
O 0.789 0.196 0.339
O 0.796 0.929 0.762
O 0.917 0.603 0.525
O 0.932 0.447 0.682
O 0.935 0.727 0.324
CELL_PARAMETERS angstrom
5.477 0.000 0.000
0.000 24.467 2.766
0.000 -24.467 2.766

***

9.
! CaTiBiO4 PBE optimized geometry; values from VASP
! Formation energy without anion corrections: -2325 meV/atom
! Magnetization: 0.000 μB per atom
&SYSTEM
  ibrav = 0, nat = 14, ntyp = 4
/
ATOMIC_SPECIES
Ca 40.08 Ca.upf
Ti 47.87 Ti.upf
Bi 208.98 Bi.upf
O 16.00 O.upf
ATOMIC_POSITIONS crystal
Ca 0.000 0.000 0.000
Ca 0.000 0.000 0.500
Ti 0.343 0.657 0.750
Ti 0.657 0.343 0.250
Bi 0.314 0.686 0.250
Bi 0.686 0.314 0.750
O 0.233 0.294 0.750
O 0.237 0.763 0.548
O 0.237 0.763 0.952
O 0.294 0.233 0.250
O 0.706 0.767 0.750
O 0.763 0.237 0.048
O 0.763 0.237 0.452
O 0.767 0.706 0.250
CELL_PARAMETERS angstrom
3.011 -4.890 0.000
3.011 4.890 0.000
0.000 0.000 7.402

***

10.
! CaTlBiO4 PBE optimized geometry; values from VASP
! Formation energy without anion corrections: -1496 meV/atom
! Magnetization: 0.000 μB per atom
&SYSTEM
  ibrav = 0, nat = 14, ntyp = 4
/
ATOMIC_SPECIES
Ca 40.08 Ca.upf
Tl 204.38 Tl.upf
Bi 208.98 Bi.upf
O 16.00 O.upf
ATOMIC_POSITIONS crystal
Ca 0.372 0.122 0.250
Ca 0.628 0.878 0.750
Tl 0.000 0.000 0.500
Tl 0.000 0.500 0.000
Bi 0.000 0.500 0.500
Bi 0.500 0.500 0.000
O 0.220 0.742 0.478
O 0.236 0.250 0.514
O 0.236 0.258 0.978
O 0.236 0.722 0.986
O 0.764 0.278 0.014
O 0.764 0.742 0.022
O 0.764 0.750 0.486
O 0.780 0.258 0.522
CELL_PARAMETERS angstrom
-3.467 3.490 4.944
3.467 -3.490 4.944
3.467 3.490 -4.944

***

11.
! CaTlBi2O6 PBE optimized geometry; values from VASP
! Formation energy without anion corrections: -1373 meV/atom
! Magnetization: 0.000 μB per atom
&SYSTEM
  ibrav = 0, nat = 10, ntyp = 4
/
ATOMIC_SPECIES
Ca 40.08 Ca.upf
Tl 204.38 Tl.upf
Bi 208.98 Bi.upf
O 16.00 O.upf
ATOMIC_POSITIONS crystal
Ca 0.000 0.000 0.000
Tl 0.501 0.501 0.501
Bi 0.215 0.215 0.215
Bi 0.714 0.714 0.714
O 0.118 0.404 0.820
O 0.330 0.909 0.597
O 0.404 0.820 0.118
O 0.597 0.330 0.909
O 0.820 0.118 0.404
O 0.909 0.597 0.330
CELL_PARAMETERS angstrom
2.965 1.712 5.208
-2.965 1.712 5.208
0.000 -3.423 5.208

***

12.
! CaTmBi2O6 PBE optimized geometry; values from VASP
! Formation energy without anion corrections: -2105 meV/atom
! Magnetization: 0.000 μB per atom
&SYSTEM
  ibrav = 0, nat = 10, ntyp = 4
/
ATOMIC_SPECIES
Ca 40.08 Ca.upf
Tm 168.93 Tm.upf
Bi 208.98 Bi.upf
O 16.00 O.upf
ATOMIC_POSITIONS crystal
Ca 0.000 0.000 0.000
Tm 0.495 0.495 0.495
Bi 0.283 0.283 0.283
Bi 0.788 0.788 0.788
O 0.100 0.673 0.404
O 0.192 0.600 0.871
O 0.404 0.100 0.673
O 0.600 0.871 0.192
O 0.673 0.404 0.100
O 0.871 0.192 0.600
CELL_PARAMETERS angstrom
2.944 1.700 5.198
-2.944 1.700 5.198
0.000 -3.400 5.198

***

13.
! CaTm2BiO6 PBE optimized geometry; values from VASP
! Formation energy without anion corrections: -2710 meV/atom
! Magnetization: 0.101 μB per atom
&SYSTEM
  ibrav = 0, nat = 10, ntyp = 4
/
ATOMIC_SPECIES
Ca 40.08 Ca.upf
Tm 168.93 Tm.upf
Bi 208.98 Bi.upf
O 16.00 O.upf
ATOMIC_POSITIONS crystal
Ca 0.000 0.000 0.000
Tm 0.280 0.280 0.280
Tm 0.781 0.781 0.781
Bi 0.492 0.492 0.492
O 0.089 0.658 0.411
O 0.171 0.578 0.899
O 0.411 0.089 0.658
O 0.578 0.899 0.171
O 0.658 0.411 0.089
O 0.899 0.171 0.578
CELL_PARAMETERS angstrom
2.908 1.679 5.067
-2.908 1.679 5.067
0.000 -3.357 5.067

***

14.
! CaTmBiO2 PBE optimized geometry; values from VASP
! Formation energy without anion corrections: -2369 meV/atom
! Magnetization: 0.000 μB per atom
&SYSTEM
  ibrav = 0, nat = 10, ntyp = 4
/
ATOMIC_SPECIES
Ca 40.08 Ca.upf
Tm 168.93 Tm.upf
Bi 208.98 Bi.upf
O 16.00 O.upf
ATOMIC_POSITIONS crystal
Ca 0.000 0.000 0.000
Ca 0.500 0.500 0.500
Tm 0.000 0.000 0.366
Tm 0.500 0.500 0.866
Bi 0.000 0.000 0.686
Bi 0.500 0.500 0.186
O 0.000 0.500 0.426
O 0.000 0.500 0.926
O 0.500 0.000 0.426
O 0.500 0.000 0.926
CELL_PARAMETERS angstrom
3.886 0.000 0.000
0.000 3.886 0.000
0.000 0.000 15.029

***

15.
! CaUBi2O8 PBE optimized geometry; values from VASP
! Formation energy without anion corrections: -2075 meV/atom
! Magnetization: 0.000 μB per atom
&SYSTEM
  ibrav = 0, nat = 12, ntyp = 4
/
ATOMIC_SPECIES
Ca 40.08 Ca.upf
U 238.03 U.upf
Bi 208.98 Bi.upf
O 16.00 O.upf
ATOMIC_POSITIONS crystal
Ca 0.000 0.000 0.000
U 0.000 0.000 0.500
Bi 0.500 0.500 0.246
Bi 0.500 0.500 0.754
O 0.186 0.186 0.281
O 0.186 0.186 0.719
O 0.299 0.701 0.500
O 0.315 0.685 0.000
O 0.685 0.315 0.000
O 0.701 0.299 0.500
O 0.814 0.814 0.281
O 0.814 0.814 0.719
CELL_PARAMETERS angstrom
3.635 -3.684 0.000
3.635 3.684 0.000
0.000 0.000 7.029

***

16.
! CaUBiO2 PBE optimized geometry; values from VASP
! Formation energy without anion corrections: -2284 meV/atom
! Magnetization: 0.313 μB per atom
&SYSTEM
  ibrav = 0, nat = 10, ntyp = 4
/
ATOMIC_SPECIES
Ca 40.08 Ca.upf
U 238.03 U.upf
Bi 208.98 Bi.upf
O 16.00 O.upf
ATOMIC_POSITIONS crystal
Ca 0.000 0.000 0.000
Ca 0.500 0.500 0.500
U 0.000 0.000 0.324
U 0.500 0.500 0.824
Bi 0.000 0.000 0.664
Bi 0.500 0.500 0.164
O 0.000 0.500 0.400
O 0.000 0.500 0.900
O 0.500 0.000 0.400
O 0.500 0.000 0.900
CELL_PARAMETERS angstrom
3.905 0.000 0.000
0.000 3.905 0.000
0.000 0.000 13.278